No. 1
A geometry-optimized CoOs2Pb structure. Source: Alexandria, functional GGA-PBE.

Lattice parameters (Å, degrees): 4.8010 4.8010 2.9552 90.00 90.00 111.61
Each line ends with the local moment (μB).
Fractional coordinates of all 4 atoms:
Co 0.0000 0.5000 0.5000  0.96
Os 0.0000 0.0000 0.0000  0.04
Os 0.5000 0.5000 0.0000  0.04
Pb 0.5000 0.0000 0.5000  0.00

- Magnetic moment: 0.2510 μB per atom
- Crystal system: orthorhombic
- Uncorrected energy: -7.29 eV per atom

No. 2
A geometry-optimized Co2OsPb structure. Source: Alexandria, functional GGA-PBE.

Lattice parameters (Å, degrees): 4.8194 4.8194 4.8194 132.77 132.76 69.03
Each line ends with the local moment (μB).
Fractional coordinates of all 4 atoms:
Co 0.9999 0.9999 0.0000  1.30
Co 0.7501 0.2501 0.5000  1.43
Pb 0.2500 0.7500 0.5000  -0.03
Os 0.5000 0.5000 0.0000  0.67

- Magnetic moment: 0.8315 μB per atom
- Crystal system: tetragonal
- Uncorrected energy: -6.61 eV per atom

No. 3
A geometry-optimized Co2OsPb structure. Source: Alexandria, functional GGA-PBE.

Lattice parameters (Å, degrees): 4.2028 4.2028 3.3782 90.00 90.00 90.00
Each line ends with the local moment (μB).
Fractional coordinates of all 4 atoms:
Co 0.5000 0.5000 0.0000  1.48
Co 0.0000 0.0000 0.0000  1.48
Pb 0.0000 0.5000 0.5000  -0.02
Os 0.5000 0.0000 0.5000  1.20

- Magnetic moment: 1.0417 μB per atom
- Crystal system: tetragonal
- Uncorrected energy: -6.61 eV per atom

No. 4
A geometry-optimized CoOs2Pb structure. Source: Alexandria, functional GGA-PBE.

Lattice parameters (Å, degrees): 4.6707 4.6707 5.0282 80.93 80.93 36.54
Each line ends with the local moment (μB).
Fractional coordinates of all 4 atoms:
Pb 0.5024 0.5024 0.4781  -0.01
Os 0.7405 0.7405 0.8137  -0.03
Os 0.9987 0.9987 0.9880  0.01
Co 0.2583 0.2583 0.2201  0.54

- Magnetic moment: 0.1209 μB per atom
- Crystal system: monoclinic
- Uncorrected energy: -7.57 eV per atom

No. 5
A geometry-optimized CoOsPb2 structure. Source: Alexandria, functional GGA-PBE.

Lattice parameters (Å, degrees): 6.5626 6.5626 6.5626 151.44 141.19 48.88
Each line ends with the local moment (μB).
Fractional coordinates of all 4 atoms:
Pb 0.2738 0.7738 0.5000  -0.02
Pb 0.0001 0.0001 0.0000  -0.01
Os 0.6875 0.1875 0.5000  0.48
Co 0.5385 0.5385 0.0000  1.16

- Magnetic moment: 0.4046 μB per atom
- Crystal system: orthorhombic
- Relative energy among the computed polymorphs: 107.1 kJ/mol of formula units

No. 6
A geometry-optimized CoOs2Pb structure. Source: Alexandria, functional GGA-PBE.

Lattice parameters (Å, degrees): 5.1902 5.1902 5.1902 145.46 127.56 64.32
Each line ends with the local moment (μB).
Fractional coordinates of all 4 atoms:
Os 0.0133 0.0133 0.0000  0.04
Os 0.7523 0.2523 0.5000  -0.05
Co 0.2480 0.7480 0.5000  0.45
Pb 0.4864 0.4864 0.0000  -0.01

- Magnetic moment: 0.1041 μB per atom
- Crystal system: orthorhombic
- Uncorrected energy: -7.35 eV per atom

No. 7
A geometry-optimized Co2OsPb structure. Source: Alexandria, functional GGA-PBE.

Lattice parameters (Å, degrees): 6.4225 4.5167 2.9390 89.99 62.77 124.22
Each line ends with the local moment (μB).
Fractional coordinates of all 4 atoms:
Co 0.0000 0.0000 0.0000  1.13
Co 0.5000 0.0000 0.5000  1.14
Pb 0.5000 0.5000 0.0000  -0.03
Os 0.0000 0.5000 0.5000  0.72

- Magnetic moment: 0.7312 μB per atom
- Crystal system: orthorhombic
- Uncorrected energy: -6.61 eV per atom

No. 8
A geometry-optimized Co2OsPb structure. Source: Alexandria, functional GGA-PBE.

Lattice parameters (Å, degrees): 4.3968 4.3968 4.3968 60.00 60.00 60.00
Each line ends with the local moment (μB).
Fractional coordinates of all 4 atoms:
Pb 0.7500 0.7500 0.7500  -0.02
Os 0.5000 0.5000 0.5000  0.45
Co 0.0000 0.0000 0.0000  1.27
Co 0.2500 0.2500 0.2500  1.69

- Magnetic moment: 0.8242 μB per atom
- Crystal system: cubic
- Uncorrected energy: -6.56 eV per atom